[1]
The following is a PBE calculation of crystalline RbRePb2 at its relaxed geometry, from Alexandria via LeMat-Bulk.

The structure in extended XYZ format:
```
8
Lattice="-3.501 3.501 7.664 3.501 -3.501 7.664 3.501 3.501 -7.664" Properties=species:S:1:pos:R:3 pbc="T T T"
Rb 3.501 1.750 1.916
Rb 0.000 1.750 5.748
Re 3.501 -1.750 5.748
Re 0.000 5.251 1.916
Pb 0.000 0.000 0.000
Pb 1.750 1.750 -3.832
Pb 1.750 -1.750 3.832
Pb 0.000 3.501 0.000
```

Values from the calculation:
Theoretical density in g cm⁻³: 6.064
Total magnetic moment in μB per cell: 0.00
Total energy in eV for the cell shown: -35.85
ΔE to the lowest computed polymorph in meV per atom: 0
DOS(E_F) in states/eV/atom: 0.079


[2]
The following is a PBE calculation of crystalline RbRe3Pb at its relaxed geometry, from Alexandria via LeMat-Bulk.

The structure in extended XYZ format:
```
5
Lattice="4.849 0.000 0.000 0.000 4.849 0.000 0.000 0.000 4.849" Properties=species:S:1:pos:R:3 pbc="T T T"
Rb 0.000 0.000 0.000
Re 0.000 0.000 2.425
Re 0.000 2.425 0.000
Re 2.425 0.000 0.000
Pb 2.425 2.425 2.425
```

Values from the calculation:
Theoretical density in g cm⁻³: 12.395
Total magnetic moment in μB per cell: 3.92
Total energy in eV for the cell shown: -22.31
ΔE to the lowest computed polymorph in meV per atom: 824
DOS(E_F) in states/eV/atom: 1.714


[3]
The following is a PBE calculation of crystalline RbRe2Pb at its relaxed geometry, from Alexandria via LeMat-Bulk.

The structure in extended XYZ format:
```
8
Lattice="-4.235 4.235 2.777 4.235 -4.235 2.777 4.235 4.235 -2.777" Properties=species:S:1:pos:R:3 pbc="T T T"
Rb 0.000 0.000 0.000
Rb 0.000 4.235 1.388
Re 2.118 -1.707 2.083
Re 2.528 2.118 0.694
Re 2.118 5.942 -0.694
Re 1.707 2.118 3.471
Pb 4.235 0.000 1.388
Pb 0.000 0.000 2.777
```

Values from the calculation:
Theoretical density in g cm⁻³: 11.088
Total magnetic moment in μB per cell: 2.49
Total energy in eV for the cell shown: -40.96
DOS(E_F) in states/eV/atom: 1.375


| no. | formation energy (eV/atom) |
| --- | --- |
| 1 | 0.727 |
| 2 | 3.941 |
| 3 | 2.273 |